Record 1
The following is a PBE calculation of YTiFe2Rh after structural relaxation, from the Alexandria database.

Unit cell a=4.374 b=4.681 c=4.374 alpha=90.00 beta=90.00 gamma=90.00
Last column: magnetic moment on the atom in μB.
Positions (direct):
Fe  0.500  0.000  0.000  1.43
Fe  0.000  0.000  0.500  1.57
Ti  0.000  0.000  0.000  -0.41
Rh  0.000  0.500  0.000  0.01
Y  0.500  0.500  0.500  -0.16

## Properties
DFT total energy, hartree per atom: -0.2735
Symmetry: P4/mmm, No. 123


Record 2
The following is a PBE calculation of Ti5Zn2Fe2Rh after structural relaxation, from the Alexandria database.

Unit cell a=2.966 b=10.232 c=10.232 alpha=90.00 beta=90.00 gamma=90.00
Positions (direct):
Ti  0.500  0.700  0.426
Ti  0.500  0.500  0.000
Ti  0.500  0.426  0.300
Ti  0.500  0.000  0.500
Ti  0.500  0.574  0.700
Ti  0.500  0.074  0.800
Ti  0.500  0.800  0.926
Ti  0.500  0.926  0.200
Ti  0.500  0.200  0.074
Ti  0.500  0.300  0.574
Zn  0.000  0.172  0.328
Zn  0.000  0.828  0.672
Zn  0.000  0.672  0.172
Zn  0.000  0.328  0.828
Rh  0.000  0.000  0.000
Rh  0.000  0.500  0.500
Fe  0.000  0.868  0.368
Fe  0.000  0.632  0.868
Fe  0.000  0.132  0.632
Fe  0.000  0.368  0.132

## Properties
DFT total energy, hartree per atom: -0.2516
Symmetry: P4/mbm, No. 127


The calculation returns the following energy of formation values, one per record and in order: 285 -215 meV per atom.